Material: Ba3Na
Method: DFT, PBE
State: relaxed

a = 4.844 Å, b = 4.869 Å, c = 9.865 Å
α = 90.00°, β = 90.00°, γ = 90.00°
Positions (direct):
Ba: 0.000 0.000 0.000
Ba: 0.500 0.500 0.272
Ba: 0.500 0.500 0.728
Na: 0.000 0.000 0.500

## Properties
formation enthalpy at 0 K	23	meV per atom
space-group type	No. 47
polymorph energy (0 for the lowest one)	0.000	eV/atom
N(E_F)	1.33	states/eV/atom